Entry 1:
First-principles (PBE) data for a relaxed structure of Ac2DyOs, as listed in Alexandria.

Lattice parameters (Å, degrees): 7.045 7.045 7.045 143.77 133.74 60.13
Atoms (fractional coordinates):
Ac 0.160 0.160 0.000
Ac 0.840 0.840 0.000
Dy 0.500 0.500 0.000
Os 0.000 0.500 0.500

Summary:
Crystal system: orthorhombic

---

Entry 2:
First-principles (PBE) data for a relaxed structure of AsIrS4, as listed in Alexandria.

Lattice parameters (Å, degrees): 7.151 7.151 6.043 113.88 113.88 28.57
Atoms (fractional coordinates):
As 0.000 0.000 0.000
Ir 0.500 0.500 0.500
S 0.099 0.099 0.758
S 0.393 0.393 0.720
S 0.607 0.607 0.280
S 0.901 0.901 0.242

Summary:
Crystal system: monoclinic
Formation energy (no corrections): -0.2700 eV/atom

---

Entry 3:
First-principles (PBE) data for a relaxed structure of BaAg2Pt2, as listed in Alexandria.

Lattice parameters (Å, degrees): 8.221 8.221 3.096 90.00 90.00 90.00
Atoms (fractional coordinates):
Ba 0.000 0.000 0.000
Ba 0.500 0.500 0.000
Ag 0.120 0.380 0.000
Ag 0.380 0.880 0.000
Ag 0.620 0.120 0.000
Ag 0.880 0.620 0.000
Pt 0.176 0.676 0.500
Pt 0.324 0.176 0.500
Pt 0.676 0.824 0.500
Pt 0.824 0.324 0.500

Summary:
Crystal system: tetragonal
Energy above the lowest structure with this stoichiometry: 0 meV/atom

---

no.,mass density (g/cm³),uncorrected energy (eV for the cell shown)
1,9.1,-24.31
2,4.9,-31.64
3,11.8,-40.82